Ac3Pm8Dy2 | Alexandria via LeMat-Bulk | PBE | optimized geometry; density of states at the Fermi level = 21.20 states/eV/f.u.; SG = C2/m, No. 12; total moment = 0.0 μB/f.u.; electronic total energy = -56.11 eV/cell; theoretical density = 7.3 g/cm3
1.0
-2.242 -5.325 -0.767
3.767 -0.553 -7.179
6.436 -3.881 8.276
Ac Pm Dy
3 8 2
Direct
0.500 0.000 0.000
0.000 0.288 0.000
0.000 0.712 0.000
0.997 0.321 0.641
0.003 0.679 0.359
0.001 0.863 0.726
0.999 0.137 0.274
0.501 0.817 0.229
0.501 0.413 0.229
0.499 0.587 0.771
0.499 0.183 0.771
0.503 0.761 0.521
0.497 0.239 0.479